(1)
{
  "formula": "Cu5Ag4",
  "functional": "GGA-PBE",
  "state": "optimized geometry",
  "lattice_angstrom": [[4.533, -1.388, 0.000], [4.533, 1.388, 0.000], [-4.393, 0.000, 10.395]],
  "species": ["Cu", "Cu", "Cu", "Cu", "Cu", "Ag", "Ag", "Ag", "Ag"],
  "frac_coords": [[0.000, 0.000, 0.000], [0.440, 0.440, 0.782], [0.523, 0.523, 0.196], [0.761, 0.761, 0.107], [0.880, 0.880, 0.562], [0.097, 0.097, 0.434], [0.223, 0.223, 0.898], [0.308, 0.308, 0.318], [0.658, 0.658, 0.666]],
  "spacegroup": "Cm, No. 8",
  "volume_a3_per_cell": 130.8,
  "polymorph_energy_ev_per_fu": 0.56,
  "crystal_system": "monoclinic"
}

(2)
{
  "formula": "BeNbNiPb",
  "functional": "GGA-PBE",
  "state": "optimized geometry",
  "lattice_angstrom": [[0.000, 3.184, 3.184], [3.184, 0.000, 3.184], [3.184, 3.184, 0.000]],
  "species": ["Be", "Nb", "Ni", "Pb"],
  "frac_coords": [[0.000, 0.000, 0.000], [0.250, 0.250, 0.250], [0.750, 0.750, 0.750], [0.500, 0.500, 0.500]],
  "magnetic_moment_mub_per_atom": 0.2954,
  "spacegroup": "F-43m, No. 216",
  "volume_a3_per_cell": 64.6,
  "polymorph_energy_ev_per_fu": 0.38,
  "crystal_system": "cubic"
}

Please write out number 1 again, unchanged.
{
  "formula": "Cu5Ag4",
  "functional": "GGA-PBE",
  "state": "optimized geometry",
  "lattice_angstrom": [[4.533, -1.388, 0.000], [4.533, 1.388, 0.000], [-4.393, 0.000, 10.395]],
  "species": ["Cu", "Cu", "Cu", "Cu", "Cu", "Ag", "Ag", "Ag", "Ag"],
  "frac_coords": [[0.000, 0.000, 0.000], [0.440, 0.440, 0.782], [0.523, 0.523, 0.196], [0.761, 0.761, 0.107], [0.880, 0.880, 0.562], [0.097, 0.097, 0.434], [0.223, 0.223, 0.898], [0.308, 0.308, 0.318], [0.658, 0.658, 0.666]],
  "spacegroup": "Cm, No. 8",
  "volume_a3_per_cell": 130.8,
  "polymorph_energy_ev_per_fu": 0.56,
  "crystal_system": "monoclinic"
}

Repeat the second record exactly.
{
  "formula": "BeNbNiPb",
  "functional": "GGA-PBE",
  "state": "optimized geometry",
  "lattice_angstrom": [[0.000, 3.184, 3.184], [3.184, 0.000, 3.184], [3.184, 3.184, 0.000]],
  "species": ["Be", "Nb", "Ni", "Pb"],
  "frac_coords": [[0.000, 0.000, 0.000], [0.250, 0.250, 0.250], [0.750, 0.750, 0.750], [0.500, 0.500, 0.500]],
  "magnetic_moment_mub_per_atom": 0.2954,
  "spacegroup": "F-43m, No. 216",
  "volume_a3_per_cell": 64.6,
  "polymorph_energy_ev_per_fu": 0.38,
  "crystal_system": "cubic"
}